# Sc2Pt3

A relaxed Sc2Pt3 crystal (PBEsol, Alexandria via LeMat-Bulk).

Computed properties:
* SG: R-3m (166)
* calculated total energy: -7.479 eV per atom

Cell lengths 3.6130, 3.6130, 8.6228 Å; angles 77.91, 77.91, 60.00 degrees
Positions (direct):
Pt: 0.0000 0.0000 0.0000
Pt: 0.2000 0.2000 0.4001
Pt: 0.8000 0.8000 0.5999
Sc: 0.4040 0.4040 0.7879
Sc: 0.5960 0.5960 0.2121